Material: NaTeAs3
Method: DFT, PBE
State: relaxed

Lattice parameters (Å, degrees): 5.4103 5.4103 5.4103 90.00 90.00 90.00
Fractional positions:
Te1 0.0000 0.0000 0.0000
As1 0.5000 0.0000 0.0000
As2 0.0000 0.0000 0.5000
As3 0.0000 0.5000 0.0000
Na1 0.5000 0.5000 0.5000

## Properties
raw formation energy	0.641	eV per atom
crystal system	cubic
E_tot	-3.04	eV/atom

---

Material: BeWCl2
Method: DFT, PBE
State: relaxed

Lattice parameters (Å, degrees): 4.4177 4.4177 8.0290 69.15 69.15 38.58
Fractional positions:
Cl1 0.0048 0.0048 0.0912
Cl2 0.9025 0.9025 0.6226
Be1 0.1451 0.1451 0.4444
W1 0.4476 0.4476 0.3419

## Properties
raw formation energy	0.081	eV per atom
crystal system	monoclinic
E_tot	-5.01	eV/atom

---

Material: HoCrIn2S6
Method: DFT, PBE
State: relaxed

Lattice parameters (Å, degrees): 6.5456 6.5455 6.9997 62.12 62.12 60.00
Fractional positions:
S1 0.7196 0.0805 0.7504
S2 0.1951 0.9096 0.2724
S3 0.4495 0.7196 0.7505
S4 0.6228 0.1951 0.2724
S5 0.0805 0.4495 0.7505
S6 0.9097 0.6228 0.2724
In1 0.5173 0.5173 0.4481
In2 0.0277 0.0277 0.9170
Cr1 0.8231 0.8231 0.5307
Ho1 0.3164 0.3164 0.0509

## Properties
raw formation energy	-0.902	eV per atom
crystal system	trigonal
E_tot	-5.35	eV/atom

---

Material: Pu2MgRh
Method: DFT, PBE
State: relaxed

Lattice parameters (Å, degrees): 3.3134 3.3134 8.6210 90.00 90.00 90.00
Fractional positions:
Mg1 0.5000 0.5000 0.5000
Pu1 0.0000 0.0000 0.7955
Pu2 0.0000 0.0000 0.2045
Rh1 0.5000 0.5000 0.0000

## Properties
formation energy from the elements	-158	meV/atom
crystal system	tetragonal
E_tot	-9.56	eV/atom

---

Material: PmTlP2O6
Method: DFT, PBE
State: relaxed

Lattice parameters (Å, degrees): 5.6556 5.6556 7.4301 67.63 67.63 60.00
Fractional positions:
O1 0.0532 0.5359 0.7042
O2 0.5359 0.7066 0.7042
O3 0.4641 0.2934 0.2958
O4 0.2934 0.9468 0.2958
O5 0.7066 0.0532 0.7042
O6 0.9468 0.4641 0.2958
P1 0.2556 0.2556 0.2331
P2 0.7444 0.7444 0.7669
Tl1 0.0000 0.0000 0.0000
Pm1 0.5000 0.5000 0.5000

## Properties
raw formation energy	-2.093	eV per atom
crystal system	trigonal
E_tot	-6.86	eV/atom

---

Material: LaScCo2
Method: DFT, PBE
State: relaxed

Lattice parameters (Å, degrees): 4.6060 4.6060 4.6060 60.00 60.00 60.00
Fractional positions:
La1 0.5000 0.5000 0.5000
Co1 0.0000 0.0000 0.0000
Co2 0.2500 0.2500 0.2500
Sc1 0.7500 0.7500 0.7500

## Properties
formation energy from the elements	232	meV/atom
crystal system	cubic
E_tot	-6.14	eV/atom

---

Material: CaRe2Rh
Method: DFT, PBE
State: relaxed

Lattice parameters (Å, degrees): 5.5177 5.5177 2.7199 81.35 81.35 122.71
Fractional positions:
Re1 0.5000 0.5000 0.0000
Re2 0.0000 0.0000 0.0000
Ca1 0.0000 0.5000 0.5000
Rh1 0.5000 0.0000 0.5000

## Properties
formation energy from the elements	458	meV/atom
crystal system	monoclinic
E_tot	-8.10	eV/atom

---

Material: BeRe3Ni
Method: DFT, PBE
State: relaxed

Lattice parameters (Å, degrees): 4.0893 4.0893 4.0893 90.00 90.00 90.00
Fractional positions:
Re1 0.0000 0.5000 0.0000
Re2 0.5000 0.0000 0.0000
Re3 0.0000 0.0000 0.5000
Be1 0.0000 0.0000 0.0000
Ni1 0.5000 0.5000 0.5000

## Properties
formation energy from the elements	854	meV/atom
crystal system	cubic
E_tot	-8.52	eV/atom

---

Material: ScSbW3
Method: DFT, PBE
State: relaxed

Lattice parameters (Å, degrees): 4.7098 4.7098 4.7098 90.00 90.00 90.00
Fractional positions:
W1 0.0000 0.0000 0.5000
W2 0.5000 0.0000 0.0000
W3 0.0000 0.5000 0.0000
Sb1 0.5000 0.5000 0.5000
Sc1 0.0000 0.0000 0.0000

## Properties
raw formation energy	2.365	eV per atom
crystal system	cubic
E_tot	-7.50	eV/atom

---

Material: Mg2SbAs2
Method: DFT, PBE
State: relaxed

Lattice parameters (Å, degrees): 4.8230 4.8230 5.9677 66.17 66.17 90.00
Fractional positions:
As1 0.3755 0.3755 0.2490
As2 0.6245 0.6245 0.7510
Mg1 0.2500 0.7500 0.5000
Mg2 0.7500 0.2500 0.5000
Sb1 0.0000 0.0000 0.0000

## Properties
raw formation energy	-0.125	eV per atom
crystal system	tetragonal
E_tot	-3.45	eV/atom

---

Material: Rb2BaTlSb2
Method: DFT, PBE
State: relaxed

Lattice parameters (Å, degrees): 5.2170 9.2134 10.3602 90.00 90.00 90.00
Fractional positions:
Rb1 0.0000 0.8579 0.8310
Rb2 0.0000 0.3579 0.1690
Rb3 0.5000 0.5316 0.9137
Rb4 0.5000 0.0316 0.0863
Tl1 0.5000 0.1455 0.6795
Tl2 0.5000 0.6455 0.3205
Sb1 0.0000 0.2517 0.8199
Sb2 0.0000 0.7517 0.1801
Sb3 0.5000 0.2710 0.4022
Sb4 0.5000 0.7710 0.5978
Ba1 0.0000 0.9879 0.4543
Ba2 0.0000 0.4879 0.5457

## Properties
raw formation energy	-0.538	eV per atom
crystal system	orthorhombic
E_tot	-2.95	eV/atom

---

Material: La6ZnGa5
Method: DFT, PBE
State: relaxed

Lattice parameters (Å, degrees): 5.3343 9.2586 9.2585 120.18 106.76 106.76
Fractional positions:
Ga1 0.5000 0.5000 0.5000
Ga2 0.0000 0.3337 0.6663
Ga3 0.0000 0.6663 0.3337
Ga4 0.5000 0.8364 0.1636
Ga5 0.5000 0.1636 0.8364
Zn1 0.0000 0.0000 0.0000
La1 0.2504 0.4177 0.0830
La2 0.2504 0.0830 0.4177
La3 0.7496 0.5823 0.9170
La4 0.7496 0.9170 0.5823
La5 0.2495 0.7494 0.7494
La6 0.7505 0.2506 0.2506

## Properties
formation energy from the elements	-527	meV/atom
crystal system	orthorhombic
E_tot	-4.36	eV/atom

---

Material: ZrZn2Pd
Method: DFT, PBE
State: relaxed

Lattice parameters (Å, degrees): 6.1187 6.1187 6.1187 52.54 150.10 137.84
Fractional positions:
Pd1 0.0000 0.5000 0.5000
Zn1 0.0000 0.7295 0.7295
Zn2 0.0000 0.2705 0.2705
Zr1 0.0000 0.0000 0.0000

## Properties
formation energy from the elements	-30	meV/atom
crystal system	orthorhombic
E_tot	-4.10	eV/atom